The following is a DFT calculation (PBE) of an optimized crystal structure of La4SmPb3.

Magnetic moment ... 5.88 μB per cell
Energy of formation from the pure elements ... -0.562 eV per atom
VASP energy ... -160.20 eV for the cell shown

Unit cell a=12.8411 b=12.8411 c=6.4045 alpha=90.00 beta=90.00 gamma=90.00
Space group I4/mcm (No. 140)
Symmetry-distinct sites (fractional):
1 La 0.0859 0.2208 0.0000
2 Sm 0.0000 0.5000 0.2500
3 Pb 0.0000 0.0000 0.2500
4 Pb 0.1580 0.3420 0.5000

=====

The following is a DFT calculation (PBE) of an optimized crystal structure of La14SmPb.

Magnetic moment ... 0.00 μB per cell
Energy of formation from the pure elements ... -0.077 eV per atom
VASP energy ... -157.29 eV for the cell shown

Unit cell a=10.4369 b=10.3919 c=10.3941 alpha=90.00 beta=90.00 gamma=90.00
Space group Amm2 (No. 38)
Symmetry-distinct sites (fractional):
1 La 0.0000 0.0000 0.0000
2 La 0.0000 0.0000 0.4981
3 La 0.0000 0.2501 0.2496
4 La 0.2550 0.0000 0.7552
5 La 0.2553 0.2443 0.9996
6 La 0.2556 0.0000 0.2437
7 La 0.5000 0.2502 0.2496
8 Sm 0.5000 0.0000 0.4997
9 Pb 0.5000 0.0000 0.9994

=====

The following is a DFT calculation (PBE) of an optimized crystal structure of La3SmPb.

Magnetic moment ... 0.00 μB per cell
Energy of formation from the pure elements ... -0.208 eV per atom
VASP energy ... -48.50 eV for the cell shown

Unit cell a=6.6891 b=6.6899 c=8.7417 alpha=77.20 beta=77.07 gamma=65.15
Space group P-1 (No. 2)
Symmetry-distinct sites (fractional):
1 La 0.1560 0.1549 0.3806
2 La 0.2047 0.6787 0.2308
3 La 0.3196 0.7954 0.7703
4 Sm 0.2608 0.2602 0.9726
5 Pb 0.3480 0.3485 0.5980

=====

The following is a DFT calculation (PBE) of an optimized crystal structure of LaSm2Pb.

Magnetic moment ... 0.00 μB per cell
Energy of formation from the pure elements ... -0.338 eV per atom
ΔE to the lowest computed polymorph ... 0.00 eV/f.u.
VASP energy ... -19.43 eV for the cell shown

Unit cell a=5.0277 b=5.0277 c=4.8993 alpha=90.00 beta=90.00 gamma=90.00
Space group P4/mmm (No. 123)
Symmetry-distinct sites (fractional):
1 La 0.0000 0.0000 0.0000
2 Sm 0.0000 0.5000 0.5000
3 Pb 0.5000 0.5000 0.0000

=====

The following is a DFT calculation (PBE) of an optimized crystal structure of La2Sm3Pb4.

Magnetic moment ... 0.00 μB per cell
Energy of formation from the pure elements ... -0.494 eV per atom
ΔE to the lowest computed polymorph ... 1.20 eV/f.u.
VASP energy ... -173.16 eV for the cell shown

Unit cell a=7.3224 b=17.7040 c=9.2245 alpha=90.00 beta=90.00 gamma=90.00
Space group Cmce (No. 64)
Symmetry-distinct sites (fractional):
1 La 0.0000 0.1109 0.0889
2 Sm 0.0000 0.0000 0.5000
3 Sm 0.2500 0.2062 0.7500
4 Pb 0.0000 0.1853 0.4436
5 Pb 0.2500 0.0303 0.7500

=====

The following is a DFT calculation (PBE) of an optimized crystal structure of LaSm3Pb3.

Magnetic moment ... 0.00 μB per cell
Energy of formation from the pure elements ... -0.410 eV per atom
VASP energy ... -66.16 eV for the cell shown

Unit cell a=9.5653 b=9.5653 c=5.5863 alpha=90.00 beta=90.00 gamma=120.00
Space group P6_3/m (No. 176)
Symmetry-distinct sites (fractional):
1 La 0.3333 0.6667 0.2500
2 Sm 0.0036 0.2391 0.2500
3 Pb 0.0765 0.4504 0.7500